[1]
Entry from the Alexandria database: a geometry-optimized YZrNp2As4 structure (PBE-GGA).

It has space group P2/m (No. 10), with a = 6.9999 Å, b = 4.0298 Å, c = 7.0246 Å, α = 90.00°, β = 109.27° and γ = 90.00°. The distinct sites, in fractional coordinates, are Y at (0.0000, 0.0000, 0.0000), Zr at (0.0000, 0.5000, 0.5000), Np at (0.5000, 0.0000, 0.5000), Np at (0.5000, 0.5000, 0.0000), As at (0.2416, 0.0000, 0.7407) and As at (0.2460, 0.5000, 0.2565).

The calculation puts the formation energy at -1.01 eV per atom. As for the total magnetization: 0.01 μB per atom. The uncorrected energy comes out at -8.4434 eV per atom. The density of states at the Fermi level is 21.6 states/eV per cell.

---

[2]
Entry from the Alexandria database: a geometry-optimized AgPbSe2 structure (PBE-GGA).

It has space group P4/mmm (No. 123), with a = 5.0031 Å, b = 5.0031 Å, c = 3.8157 Å, α = 90.00°, β = 90.00° and γ = 90.00°. The distinct sites, in fractional coordinates, are Ag at (0.0000, 0.0000, 0.0000), Pb at (0.5000, 0.5000, 0.0000) and Se at (0.0000, 0.5000, 0.5000).

As for the total magnetization: 0.00 μB per atom. The uncorrected energy comes out at -3.3930 eV per atom. For the uncorrected formation energy, the calculation gives -11 meV per atom. The density of states at the Fermi level is 2.7 states/eV per cell.

---

[3]
Entry from the Alexandria database: a geometry-optimized SrSb2Os structure (PBE-GGA).

It has space group P4mm (No. 99), with a = 3.3414 Å, b = 3.3414 Å, c = 9.2252 Å, α = 90.00°, β = 90.00° and γ = 90.00°. The distinct sites, in fractional coordinates, are Sr at (0.0000, 0.0000, 0.0000), Sb at (0.0000, 0.0000, 0.3860), Sb at (0.5000, 0.5000, 0.7114) and Os at (0.5000, 0.5000, 0.2413).

As for the total magnetization: 0.00 μB per atom. The uncorrected energy comes out at -5.1628 eV per atom. The offset from the most stable computed form is 370 meV/atom. For the uncorrected formation energy, the calculation gives 126 meV per atom. The density of states at the Fermi level is 2.6 states/eV per cell.